Record 1
SiTe2MoPb: relaxed, GGA-PBEsol.

Geometry as POSCAR:
```
SiTe2MoPb
1.0
5.147 0.000 0.000
0.000 5.147 0.000
0.000 0.000 5.389
Te Mo Si Pb
2 1 1 1
direct
0.500 0.000 0.000 Te
0.000 0.500 0.000 Te
0.000 0.000 0.000 Mo
0.500 0.500 0.500 Si
0.000 0.000 0.500 Pb
```

Values from the calculation:
raw formation energy	0.85	eV/atom
symmetry	P4/mmm (123)

Record 2
BaReTe2: relaxed, GGA-PBEsol.

Geometry as POSCAR:
```
BaReTe2
1.0
-0.939 -2.588 2.018
3.078 0.032 1.474
-2.760 5.403 5.645
Te Re Ba
2 1 1
direct
0.000 0.000 0.308 Te
0.000 0.000 0.692 Te
0.500 0.500 0.500 Re
0.500 0.500 0.000 Ba
```

Values from the calculation:
raw formation energy	0.14	eV/atom
symmetry	P4/mmm (123)

Record 3
Ca2CoMo2: relaxed, GGA-PBEsol.

Geometry as POSCAR:
```
Ca2CoMo2
1.0
5.353 0.014 0.023
-2.144 4.905 -0.023
-2.144 -2.108 4.429
Ca Mo Co
2 2 1
direct
0.500 0.750 0.250 Ca
0.500 0.250 0.750 Ca
0.000 0.653 0.653 Mo
0.000 0.347 0.347 Mo
0.000 0.000 0.000 Co
```

Values from the calculation:
energy of formation	124.3	kJ/mol of atoms
symmetry	I4/mmm (139)

Record 4
Ag3OsCl: relaxed, GGA-PBEsol.

Geometry as POSCAR:
```
Ag3OsCl
1.0
5.002 0.000 0.000
0.000 5.002 0.000
0.000 0.000 5.002
Cl Ag Os
1 3 1
direct
0.500 0.500 0.500 Cl
0.000 0.000 0.500 Ag
0.500 0.000 0.000 Ag
0.000 0.500 0.000 Ag
0.000 0.000 0.000 Os
```

Values from the calculation:
raw formation energy	1.52	eV/atom
symmetry	Pm-3m (221)

Record 5
Lu6Al43Mo4: relaxed, GGA-PBEsol.

Geometry as POSCAR:
```
Lu6Al43Mo4
1.0
-9.390 4.274 3.424
7.004 -4.187 7.181
7.696 15.624 1.604
Al Lu Mo
86 12 8
direct
0.745 0.000 0.530 Al
0.000 0.841 0.115 Al
0.745 0.745 0.470 Al
0.841 0.841 0.885 Al
0.148 0.000 0.250 Al
0.247 0.494 0.000 Al
0.606 0.763 0.163 Al
0.843 0.606 0.663 Al
0.157 0.763 0.837 Al
0.448 0.596 0.750 Al
0.852 0.404 0.750 Al
0.843 0.237 0.163 Al
0.852 0.000 0.750 Al
0.745 0.745 0.030 Al
0.255 0.000 0.030 Al
0.841 0.841 0.615 Al
0.255 0.255 0.530 Al
0.606 0.763 0.337 Al
0.667 0.333 0.375 Al
0.000 0.745 0.530 Al
0.745 0.000 0.970 Al
0.596 0.148 0.250 Al
0.852 0.448 0.250 Al
0.157 0.394 0.337 Al
0.247 0.753 0.500 Al
0.000 0.255 0.470 Al
0.852 0.852 0.250 Al
0.255 0.000 0.470 Al
0.000 0.159 0.885 Al
0.148 0.148 0.750 Al
0.000 0.159 0.615 Al
0.763 0.157 0.663 Al
0.159 0.000 0.615 Al
0.506 0.753 0.000 Al
0.494 0.247 0.000 Al
0.148 0.596 0.250 Al
0.753 0.506 0.500 Al
0.333 0.667 0.125 Al
0.843 0.606 0.837 Al
0.552 0.404 0.250 Al
0.394 0.237 0.663 Al
0.404 0.852 0.750 Al
0.237 0.843 0.337 Al
0.448 0.852 0.250 Al
0.159 0.000 0.885 Al
0.000 0.745 0.970 Al
0.763 0.157 0.837 Al
0.843 0.237 0.337 Al
0.506 0.753 0.500 Al
0.753 0.247 0.500 Al
0.333 0.667 0.375 Al
0.667 0.333 0.125 Al
0.333 0.667 0.875 Al
0.159 0.159 0.115 Al
0.753 0.506 0.000 Al
0.159 0.159 0.385 Al
0.000 0.255 0.030 Al
0.753 0.247 0.000 Al
0.552 0.148 0.750 Al
0.404 0.552 0.250 Al
0.394 0.157 0.337 Al
0.237 0.843 0.163 Al
0.157 0.394 0.163 Al
0.667 0.333 0.875 Al
0.606 0.843 0.837 Al
0.000 0.841 0.385 Al
0.606 0.843 0.663 Al
0.157 0.763 0.663 Al
0.763 0.606 0.337 Al
0.000 0.852 0.750 Al
0.000 0.148 0.250 Al
0.841 0.000 0.115 Al
0.255 0.255 0.970 Al
0.394 0.157 0.163 Al
0.237 0.394 0.663 Al
0.237 0.394 0.837 Al
0.148 0.552 0.750 Al
0.247 0.494 0.500 Al
0.763 0.606 0.163 Al
0.333 0.667 0.625 Al
0.667 0.333 0.625 Al
0.247 0.753 0.000 Al
0.494 0.247 0.500 Al
0.394 0.237 0.837 Al
0.596 0.448 0.750 Al
0.841 0.000 0.385 Al
0.000 0.467 0.905 Lu
0.000 0.533 0.405 Lu
0.000 0.467 0.595 Lu
0.467 0.467 0.405 Lu
0.533 0.000 0.405 Lu
0.533 0.000 0.095 Lu
0.533 0.533 0.905 Lu
0.000 0.533 0.095 Lu
0.467 0.000 0.905 Lu
0.467 0.000 0.595 Lu
0.467 0.467 0.095 Lu
0.533 0.533 0.595 Lu
0.000 0.000 0.000 Mo
0.728 0.000 0.250 Mo
0.000 0.272 0.750 Mo
0.272 0.272 0.250 Mo
0.000 0.000 0.500 Mo
0.728 0.728 0.750 Mo
0.000 0.728 0.250 Mo
0.272 0.000 0.750 Mo
```

Values from the calculation:
energy of formation	-28.3	kJ/mol of atoms
symmetry	P6_3/mcm (193)

Record 6
MnSi: relaxed, GGA-PBEsol.

Geometry as POSCAR:
```
MnSi
1.0
-4.322 -1.135 -0.088
1.123 -4.308 0.397
-0.186 0.362 4.451
Si Mn
4 4
direct
0.845 0.845 0.845 Si
0.155 0.345 0.655 Si
0.345 0.655 0.155 Si
0.655 0.155 0.345 Si
0.363 0.863 0.637 Mn
0.637 0.363 0.863 Mn
0.863 0.637 0.363 Mn
0.137 0.137 0.137 Mn
```

Values from the calculation:
raw formation energy	-0.53	eV/atom
symmetry	P2_13 (198)

Record 7
TaRh3: relaxed, GGA-PBEsol.

Geometry as POSCAR:
```
TaRh3
1.0
-0.383 0.828 -2.613
2.663 -2.437 -1.163
-3.827 -3.866 -0.665
Rh Ta
3 1
direct
0.000 0.000 0.742 Rh
0.500 0.500 0.500 Rh
0.000 0.000 0.258 Rh
0.500 0.500 0.000 Ta
```

Values from the calculation:
energy of formation	-34.3	kJ/mol of atoms
symmetry	Pmmm (47)

Record 8
ScNiW2: relaxed, GGA-PBEsol.

Geometry as POSCAR:
```
ScNiW2
1.0
2.691 0.018 0.000
-0.359 2.667 0.000
0.000 0.000 8.478
W Ni Sc
2 1 1
direct
0.000 0.000 0.280 W
0.000 0.000 0.720 W
0.500 0.500 0.500 Ni
0.500 0.500 0.000 Sc
```

Values from the calculation:
energy of formation	17.3	kJ/mol of atoms
symmetry	Cmmm (65)

Record 9
Si2Ni2Mo: relaxed, GGA-PBEsol.

Geometry as POSCAR:
```
Si2Ni2Mo
1.0
-2.025 -0.858 -1.411
2.425 -6.252 0.321
-3.481 -1.060 5.642
Ni Si Mo
4 4 2
direct
0.500 0.356 0.144 Ni
0.500 0.644 0.856 Ni
0.500 0.144 0.644 Ni
0.500 0.856 0.356 Ni
0.000 0.150 0.350 Si
0.000 0.350 0.850 Si
0.000 0.650 0.150 Si
0.000 0.850 0.650 Si
0.000 0.500 0.500 Mo
0.000 0.000 0.000 Mo
```

Values from the calculation:
raw formation energy	-0.51	eV/atom
symmetry	P4/mbm (127)

Record 10
ReTeCl2: relaxed, GGA-PBEsol.

Geometry as POSCAR:
```
ReTeCl2
1.0
3.021 0.000 0.000
0.000 4.638 0.000
0.000 0.000 5.192
Te Cl Re
1 2 1
direct
0.000 0.500 0.500 Te
0.000 0.000 0.000 Cl
0.500 0.000 0.500 Cl
0.500 0.500 0.000 Re
```

Values from the calculation:
raw formation energy	0.82	eV/atom
symmetry	Pmmm (47)

Record 11
BaMn2Ni: relaxed, GGA-PBEsol.

Geometry as POSCAR:
```
BaMn2Ni
1.0
-2.915 2.064 3.017
-4.527 -1.168 0.048
-1.750 -2.427 3.592
Ni Ba Mn
1 1 2
direct
0.500 0.500 0.500 Ni
0.000 0.000 0.000 Ba
0.250 0.250 0.250 Mn
0.750 0.750 0.750 Mn
```

Values from the calculation:
energy of formation	100.8	kJ/mol of atoms
symmetry	Fm-3m (225)

Record 12
Cd2AgHg: relaxed, GGA-PBEsol.

Geometry as POSCAR:
```
Cd2AgHg
1.0
3.631 0.000 0.000
0.000 3.631 0.000
0.000 0.000 5.976
Hg Ag Cd
1 1 2
direct
0.000 0.000 0.505 Hg
0.500 0.500 0.756 Ag
0.500 0.500 0.250 Cd
0.000 0.000 0.988 Cd
```

Values from the calculation:
energy of formation	-0.6	kJ/mol of atoms
symmetry	P4mm (99)

Number 1: volume 28.55 Å³ per atom. Number 2: volume 24.14 Å³ per atom. Number 3: volume 23.31 Å³ per atom. Number 4: volume 25.03 Å³ per atom. Number 5: volume 16.89 Å³ per atom. Number 6: volume 11.16 Å³ per atom. Number 7: volume 14.38 Å³ per atom. Number 8: volume 15.23 Å³ per atom. Number 9: volume 11.78 Å³ per atom. Number 10: volume 18.18 Å³ per atom. Number 11: volume 18.07 Å³ per atom. Number 12: volume 19.70 Å³ per atom.